The following is a PBE-GGA calculation of a relaxed structure of Ho2ReO8, from Alexandria via LeMat-Bulk.

The space group is C2/m (No. 12) and the conventional cell measures 13.848, 3.798 and 4.934 Å, with angles of 90.00, 106.05 and 90.00 degrees. The asymmetric unit holds Ho at (0.180, 0.000, 0.170), Re at (0.000, 0.500, 0.500), O at (0.019, 0.000, 0.715), O at (0.044, 0.500, 0.954), O at (0.131, 0.500, 0.507) and O at (0.243, 0.000, 0.805).

The value obtained for the uncorrected formation energy is -1.824 eV per atom. As for the density of states at the Fermi level: 0.304 states/eV/atom. The calculation puts the density at 8.6 Mg/m³.